## one
First-principles (PBE) data for a relaxed Er2BeRh2 crystal, as listed in Alexandria via LeMat-Bulk.

Cell lengths 5.742, 5.742, 6.984 Å; angles 78.90, 78.90, 55.43 degrees
Element x y z (fractional)
Rh1 0.000 0.745 0.010
Rh2 0.255 0.000 0.490
Rh3 0.000 0.255 0.990
Be1 0.895 0.105 0.750
Er1 0.222 0.485 0.648
Er2 0.485 0.222 0.148
Be2 0.105 0.895 0.250
Rh4 0.745 0.000 0.510
Er3 0.515 0.778 0.852
Er4 0.778 0.515 0.352

Summary:
space-group type	C2/c (15)



## two
First-principles (PBE) data for a relaxed Er2BeRh2 crystal, as listed in Alexandria via LeMat-Bulk.

Cell lengths 5.613, 5.925, 7.015 Å; angles 114.98, 113.58, 90.00 degrees
Element x y z (fractional)
Rh1 0.623 0.437 0.245
Er1 0.132 0.310 0.264
Er2 0.868 0.690 0.736
Er3 0.632 0.954 0.264
Er4 0.368 0.046 0.736
Be1 0.750 0.500 0.000
Rh2 0.877 0.191 0.755
Rh3 0.123 0.809 0.245
Rh4 0.377 0.563 0.755
Be2 0.250 0.500 0.000

Summary:
space-group type	Ibam (72)



Stability comparison, relative energies in meV per atom: one 0; two 118